FeOs2Br (PBE, relaxed); distance to the lowest polymorph of the same formula = 481.0 meV per atom; E_form (uncorrected) = 1155 meV per atom; total magnetic moment = 3.51 μB/f.u.
1.0
2.6873 -4.5934 0.0000
2.6873 4.5934 0.0000
-1.4307 0.0000 2.4991
Fe Os Br
1 2 1
direct
0.0000 0.0000 0.0000 Fe
0.0000 0.5000 0.5000 Os
0.5000 0.0000 0.5000 Os
0.5000 0.5000 0.0000 Br